Li4MnFe3B4O12: optimized geometry, GGA+U.

## Properties
The value obtained for the density of states at the Fermi level is 0.00 states/eV/f.u. The energy above the most stable polymorph in this dataset is 0.0 kJ/mol of atoms.

abc: 5.2247 5.2159 10.3960
angles: 90.66 90.86 119.84
Each line ends with the local moment (μB).
Element x y z (fractional)
Fe 0.0009 0.6730 0.3851  3.77
Fe 0.3175 0.9989 0.1341  3.77
Fe 0.0026 0.3194 0.6317  3.75
O 0.2753 0.3620 0.1143  0.03
O 0.9800 0.5838 0.1684  0.05
O 0.7448 0.0707 0.0992  0.04
O 0.7272 0.6403 0.8602  0.03
O 0.3606 0.2744 0.6100  0.03
O 0.6528 0.7323 0.3627  0.04
O 0.0379 0.4237 0.8437  0.04
O 0.9331 0.2539 0.4157  0.04
O 0.2437 0.9302 0.9200  0.04
O 0.4197 0.0277 0.3462  0.04
O 0.5816 0.9781 0.6642  0.04
O 0.0679 0.7437 0.5953  0.04
Li 0.6568 0.6780 0.1675  0.00
Li 0.6764 0.6537 0.6667  0.00
Li 0.3476 0.3347 0.4147  0.00
Li 0.3352 0.3469 0.9164  0.00
B 0.0026 0.6661 0.8753  0.02
B 0.3371 0.9986 0.6241  0.01
B 0.0000 0.3383 0.1287  0.02
B 0.6700 0.0061 0.3756  0.01
Mn 0.6694 0.0061 0.8840  4.63